The following is a DFT calculation (PBE) of a relaxed Dy5SnIr2 crystal.

```
data_Dy5SnIr2
_cell_length_a 7.7835
_cell_length_b 7.7835
_cell_length_c 8.6945
_cell_angle_alpha 116.59
_cell_angle_beta 116.59
_cell_angle_gamma 90.00
_space_group_name_H-M_alt 'P 1'
_space_group_IT_number 1
loop_
_space_group_symop_operation_xyz
'x,y,z'
loop_
_atom_site_label
_atom_site_type_symbol
_atom_site_fract_x
_atom_site_fract_y
_atom_site_fract_z
Dy1 Dy 0.2931 0.7931 0.2679
Dy2 Dy 0.9748 0.4748 0.2679
Dy3 Dy 0.5000 0.5000 0.0000
Dy4 Dy 0.7069 0.2069 0.7321
Dy5 Dy 0.5252 0.7069 0.7321
Dy6 Dy 0.0252 0.5252 0.7321
Dy7 Dy 0.7931 0.9748 0.2679
Dy8 Dy 0.2069 0.0252 0.7321
Dy9 Dy 0.0000 0.0000 0.0000
Dy10 Dy 0.4748 0.2931 0.2679
Sn1 Sn 0.2500 0.2500 0.5000
Sn2 Sn 0.7500 0.7500 0.5000
Ir1 Ir 0.3609 0.8609 0.0000
Ir2 Ir 0.1391 0.3609 0.0000
Ir3 Ir 0.6391 0.1391 0.0000
Ir4 Ir 0.8609 0.6391 0.0000
```

Values from the calculation:
Space group: No. 140
Energy: -6.35 eV/atom



The following is a DFT calculation (PBE) of a relaxed Ac2InPb9 crystal.

```
data_Ac2InPb9
_cell_length_a 5.0290
_cell_length_b 5.0290
_cell_length_c 15.1512
_cell_angle_alpha 90.00
_cell_angle_beta 90.00
_cell_angle_gamma 90.00
_space_group_name_H-M_alt 'P 1'
_space_group_IT_number 1
loop_
_space_group_symop_operation_xyz
'x,y,z'
loop_
_atom_site_label
_atom_site_type_symbol
_atom_site_fract_x
_atom_site_fract_y
_atom_site_fract_z
Ac1 Ac 0.0000 0.0000 0.6639
Ac2 Ac 0.0000 0.0000 0.3361
Pb1 Pb 0.5000 0.5000 0.0000
Pb2 Pb 0.5000 0.5000 0.6727
Pb3 Pb 0.5000 0.0000 0.8413
Pb4 Pb 0.5000 0.0000 0.1587
Pb5 Pb 0.5000 0.5000 0.3273
Pb6 Pb 0.0000 0.5000 0.5000
Pb7 Pb 0.5000 0.0000 0.5000
Pb8 Pb 0.0000 0.5000 0.8413
Pb9 Pb 0.0000 0.5000 0.1587
In1 In 0.0000 0.0000 0.0000
```

Values from the calculation:
Space group: No. 123
Energy: -3.94 eV/atom



The following is a DFT calculation (PBE) of a relaxed La2PmPrTm4 crystal.

```
data_La2PmPrTm4
_cell_length_a 12.3335
_cell_length_b 7.2183
_cell_length_c 12.3338
_cell_angle_alpha 107.02
_cell_angle_beta 145.97
_cell_angle_gamma 89.99
_space_group_name_H-M_alt 'P 1'
_space_group_IT_number 1
loop_
_space_group_symop_operation_xyz
'x,y,z'
loop_
_atom_site_label
_atom_site_type_symbol
_atom_site_fract_x
_atom_site_fract_y
_atom_site_fract_z
Pm1 Pm 0.5000 0.4998 0.5001
Pm2 Pm 0.0001 0.9999 0.0001
Tm1 Tm 0.2500 0.2499 0.4987
Tm2 Tm 0.7503 0.7494 0.9983
Tm3 Tm 0.7500 0.7499 0.5013
Tm4 Tm 0.7496 0.2509 0.5010
Tm5 Tm 0.2503 0.7490 0.4990
Tm6 Tm 0.7511 0.2497 0.9998
Tm7 Tm 0.2496 0.2505 0.0016
Tm8 Tm 0.2488 0.7503 0.0001
La1 La 0.9999 0.0001 0.4999
La2 La 0.4998 0.0001 0.9997
La3 La 0.5001 0.5003 0.0000
La4 La 0.5002 0.0000 0.5002
Pr1 Pr 0.9999 0.5000 0.4999
Pr2 Pr 0.0002 0.5000 0.0002
```

Values from the calculation:
Space group: No. 12
Energy: -4.64 eV/atom



The following is a DFT calculation (PBE) of a relaxed Ho3HgBi crystal.

```
data_Ho3HgBi
_cell_length_a 4.2537
_cell_length_b 7.3508
_cell_length_c 9.7106
_cell_angle_alpha 90.00
_cell_angle_beta 90.00
_cell_angle_gamma 90.00
_space_group_name_H-M_alt 'P 1'
_space_group_IT_number 1
loop_
_space_group_symop_operation_xyz
'x,y,z'
loop_
_atom_site_label
_atom_site_type_symbol
_atom_site_fract_x
_atom_site_fract_y
_atom_site_fract_z
Bi1 Bi 0.5000 0.0000 0.1492
Bi2 Bi 0.0000 0.5000 0.8508
Ho1 Ho 0.0000 0.0000 0.9110
Ho2 Ho 0.5000 0.5000 0.0890
Ho3 Ho 0.5000 0.2643 0.6726
Ho4 Ho 0.0000 0.7643 0.3274
Ho5 Ho 0.5000 0.7357 0.6726
Ho6 Ho 0.0000 0.2357 0.3274
Hg1 Hg 0.5000 0.5000 0.4130
Hg2 Hg 0.0000 0.0000 0.5870
```

Values from the calculation:
Space group: No. 59
Energy: -3.98 eV/atom



The following is a DFT calculation (PBE) of a relaxed Ce3PuHg crystal.

```
data_Ce3PuHg
_cell_length_a 3.6284
_cell_length_b 7.2610
_cell_length_c 10.0275
_cell_angle_alpha 109.86
_cell_angle_beta 90.00
_cell_angle_gamma 90.00
_space_group_name_H-M_alt 'P 1'
_space_group_IT_number 1
loop_
_space_group_symop_operation_xyz
'x,y,z'
loop_
_atom_site_label
_atom_site_type_symbol
_atom_site_fract_x
_atom_site_fract_y
_atom_site_fract_z
Pu1 Pu 0.7500 0.1934 0.6314
Pu2 Pu 0.2500 0.8066 0.3686
Hg1 Hg 0.2500 0.1872 0.1215
Hg2 Hg 0.7500 0.8128 0.8785
Ce1 Ce 0.7500 0.0655 0.3630
Ce2 Ce 0.2500 0.4523 0.6517
Ce3 Ce 0.2500 0.9345 0.6370
Ce4 Ce 0.2500 0.6868 0.1056
Ce5 Ce 0.7500 0.5477 0.3483
Ce6 Ce 0.7500 0.3132 0.8944
```

Values from the calculation:
Energy relative to the lowest polymorph listed for this composition: 66 meV per atom
Space group: No. 11



The following is a DFT calculation (PBE) of a relaxed Cs3CrBr6 crystal.

```
data_Cs3CrBr6
_cell_length_a 8.4223
_cell_length_b 8.3121
_cell_length_c 11.8237
_cell_angle_alpha 91.51
_cell_angle_beta 90.00
_cell_angle_gamma 90.00
_space_group_name_H-M_alt 'P 1'
_space_group_IT_number 1
loop_
_space_group_symop_operation_xyz
'x,y,z'
loop_
_atom_site_label
_atom_site_type_symbol
_atom_site_fract_x
_atom_site_fract_y
_atom_site_fract_z
Br1 Br 0.8311 0.2473 0.0448
Br2 Br 0.1689 0.7527 0.9552
Br3 Br 0.2489 0.6621 0.5428
Br4 Br 0.2511 0.1621 0.0428
Br5 Br 0.6689 0.7473 0.5448
Br6 Br 0.7489 0.8379 0.9572
Br7 Br 0.0132 0.0801 0.7941
Br8 Br 0.5132 0.4199 0.7059
Br9 Br 0.9868 0.9199 0.2059
Br10 Br 0.4868 0.5801 0.2941
Br11 Br 0.3311 0.2527 0.4552
Br12 Br 0.7511 0.3379 0.4572
Cs1 Cs 0.4411 0.9848 0.7561
Cs2 Cs 0.5589 0.0152 0.2439
Cs3 Cs 0.0000 0.0000 0.5000
Cs4 Cs 0.9411 0.5152 0.7439
Cs5 Cs 0.0589 0.4848 0.2561
Cs6 Cs 0.5000 0.5000 0.0000
Cr1 Cr 0.5000 0.5000 0.5000
Cr2 Cr 0.0000 0.0000 0.0000
```

Values from the calculation:
Energy relative to the lowest polymorph listed for this composition: 0 meV per atom
Space group: No. 14
Formation energy (no corrections): -1.39 eV per atom



The following is a DFT calculation (PBE) of a relaxed Na2GaP2 crystal.

```
data_Na2GaP2
_cell_length_a 5.9495
_cell_length_b 7.0626
_cell_length_c 6.0220
_cell_angle_alpha 100.28
_cell_angle_beta 119.60
_cell_angle_gamma 90.00
_space_group_name_H-M_alt 'P 1'
_space_group_IT_number 1
loop_
_space_group_symop_operation_xyz
'x,y,z'
loop_
_atom_site_label
_atom_site_type_symbol
_atom_site_fract_x
_atom_site_fract_y
_atom_site_fract_z
Ga1 Ga 0.0387 0.7500 0.0000
Ga2 Ga 0.9613 0.2500 0.0000
Na1 Na 0.7728 0.6308 0.2950
Na2 Na 0.4777 0.8692 0.7050
Na3 Na 0.2272 0.3692 0.7050
Na4 Na 0.5223 0.1308 0.2950
P1 P 0.7100 0.4794 0.7296
P2 P 0.0196 0.9794 0.7296
P3 P 0.2900 0.5206 0.2704
P4 P 0.9804 0.0206 0.2704
```

Values from the calculation:
Energy relative to the lowest polymorph listed for this composition: 0 meV per atom
Space group: No. 15



The following is a DFT calculation (PBE) of a relaxed LaYN2 crystal.

```
data_LaYN2
_cell_length_a 4.3729
_cell_length_b 4.3729
_cell_length_c 4.3729
_cell_angle_alpha 60.00
_cell_angle_beta 60.00
_cell_angle_gamma 60.00
_space_group_name_H-M_alt 'P 1'
_space_group_IT_number 1
loop_
_space_group_symop_operation_xyz
'x,y,z'
loop_
_atom_site_label
_atom_site_type_symbol
_atom_site_fract_x
_atom_site_fract_y
_atom_site_fract_z
N1 N 0.7500 0.7500 0.7500
N2 N 0.2500 0.2500 0.2500
La1 La 0.5000 0.5000 0.5000
Y1 Y 0.0000 0.0000 0.0000
```

Values from the calculation:
Space group: No. 225
Formation energy (no corrections): -0.73 eV per atom



The following is a DFT calculation (PBE) of a relaxed La3Hg2Sb crystal.

```
data_La3Hg2Sb
_cell_length_a 4.0432
_cell_length_b 5.3975
_cell_length_c 8.7291
_cell_angle_alpha 108.01
_cell_angle_beta 90.00
_cell_angle_gamma 90.00
_space_group_name_H-M_alt 'P 1'
_space_group_IT_number 1
loop_
_space_group_symop_operation_xyz
'x,y,z'
loop_
_atom_site_label
_atom_site_type_symbol
_atom_site_fract_x
_atom_site_fract_y
_atom_site_fract_z
Hg1 Hg 0.0000 0.3180 0.6360
Hg2 Hg 0.0000 0.6820 0.3640
La1 La 0.5000 0.5000 0.0000
La2 La 0.5000 0.1597 0.3194
La3 La 0.5000 0.8403 0.6806
Sb1 Sb 0.0000 0.0000 0.0000
```

Values from the calculation:
Space group: No. 65
Formation energy (no corrections): -0.71 eV per atom



The following is a DFT calculation (PBE) of a relaxed Ac3RuSe2 crystal.

```
data_Ac3RuSe2
_cell_length_a 7.7930
_cell_length_b 7.7930
_cell_length_c 13.9942
_cell_angle_alpha 100.87
_cell_angle_beta 100.87
_cell_angle_gamma 108.82
_space_group_name_H-M_alt 'P 1'
_space_group_IT_number 1
loop_
_space_group_symop_operation_xyz
'x,y,z'
loop_
_atom_site_label
_atom_site_type_symbol
_atom_site_fract_x
_atom_site_fract_y
_atom_site_fract_z
Ru1 Ru 0.1664 0.6664 0.3328
Ru2 Ru 0.9164 0.9164 0.8328
Ru3 Ru 0.3336 0.8336 0.6672
Ru4 Ru 0.0836 0.0836 0.1672
Ac1 Ac 0.9360 0.9115 0.3226
Ac2 Ac 0.6611 0.1366 0.8226
Ac3 Ac 0.3866 0.4111 0.3226
Ac4 Ac 0.5889 0.6134 0.6774
Ac5 Ac 0.0256 0.5256 0.5000
Ac6 Ac 0.7756 0.7756 0.0000
Ac7 Ac 0.0885 0.0640 0.6774
Ac8 Ac 0.2244 0.2244 0.0000
Ac9 Ac 0.1615 0.6860 0.8226
Ac10 Ac 0.8634 0.3389 0.1774
Ac11 Ac 0.4744 0.9744 0.5000
Ac12 Ac 0.3140 0.8385 0.1774
Se1 Se 0.2530 0.2530 0.5060
Se2 Se 0.7470 0.7470 0.4940
Se3 Se 0.6699 0.1699 0.3398
Se4 Se 0.8301 0.3301 0.6602
Se5 Se 0.5801 0.5801 0.1602
Se6 Se 0.5030 0.0030 0.0060
Se7 Se 0.9970 0.4970 0.9940
Se8 Se 0.4199 0.4199 0.8398
```

Values from the calculation:
Space group: No. 70
Formation energy (no corrections): -1.27 eV per atom



The following is a DFT calculation (PBE) of a relaxed Cr2AsIr crystal.

```
data_Cr2AsIr
_cell_length_a 3.7523
_cell_length_b 3.8613
_cell_length_c 3.8613
_cell_angle_alpha 90.00
_cell_angle_beta 90.00
_cell_angle_gamma 90.00
_space_group_name_H-M_alt 'P 1'
_space_group_IT_number 1
loop_
_space_group_symop_operation_xyz
'x,y,z'
loop_
_atom_site_label
_atom_site_type_symbol
_atom_site_fract_x
_atom_site_fract_y
_atom_site_fract_z
Ir1 Ir 0.5000 0.5000 0.0000
Cr1 Cr 0.0000 0.5000 0.5000
Cr2 Cr 0.0000 0.0000 0.0000
As1 As 0.5000 0.0000 0.5000
```

Values from the calculation:
Space group: No. 123
Energy: -8.10 eV/atom



The following is a DFT calculation (PBE) of a relaxed La2Pd8Au crystal.

```
data_La2Pd8Au
_cell_length_a 4.2414
_cell_length_b 4.2414
_cell_length_c 11.7619
_cell_angle_alpha 90.00
_cell_angle_beta 90.00
_cell_angle_gamma 90.00
_space_group_name_H-M_alt 'P 1'
_space_group_IT_number 1
loop_
_space_group_symop_operation_xyz
'x,y,z'
loop_
_atom_site_label
_atom_site_type_symbol
_atom_site_fract_x
_atom_site_fract_y
_atom_site_fract_z
Pd1 Pd 0.5000 0.5000 0.3219
Pd2 Pd 0.5000 0.0000 0.1460
Pd3 Pd 0.5000 0.0000 0.8540
Pd4 Pd 0.0000 0.5000 0.1460
Pd5 Pd 0.0000 0.5000 0.5000
Pd6 Pd 0.5000 0.5000 0.6781
Pd7 Pd 0.0000 0.5000 0.8540
Pd8 Pd 0.5000 0.0000 0.5000
La1 La 0.0000 0.0000 0.3199
La2 La 0.0000 0.0000 0.6801
Au1 Au 0.0000 0.0000 0.0000
```

Values from the calculation:
Space group: No. 123
Energy: -5.45 eV/atom